Material: Li3HfPt
Method: DFT, PBE
State: optimized geometry

Density in Mg/m³: 7.24
Energy of formation in eV/atom: 0.394
DOS at the Fermi energy in states/eV/cell: 3.1
V in Å³/atom: 18.086

Cell lengths 4.489, 4.489, 4.489 Å; angles 90.00, 90.00, 90.00 degrees
Element x y z (fractional)
Li: 0.000 0.000 0.500
Li: 0.000 0.500 0.000
Li: 0.500 0.000 0.000
Hf: 0.500 0.500 0.500
Pt: 0.000 0.000 0.000

=====

Material: TiRePb2C
Method: DFT, PBE
State: optimized geometry

Density in Mg/m³: 11.68
Energy of formation in eV/atom: 1.136
DOS at the Fermi energy in states/eV/cell: 4.9
V in Å³/atom: 18.773

Cell lengths 4.865, 4.865, 3.966 Å; angles 90.00, 90.00, 90.00 degrees
Element x y z (fractional)
Ti: 0.000 0.000 0.000
Re: 0.500 0.500 0.000
Pb: 0.000 0.500 0.500
Pb: 0.500 0.000 0.500
C: 0.000 0.000 0.500

=====

Material: BaSrZrSnO6
Method: DFT, PBE
State: optimized geometry

Density in Mg/m³: 6.01
ΔE_f (raw) in meV/atom: -2711
DOS at the Fermi energy in states/eV/cell: 0.0
V in Å³/atom: 14.669

Cell lengths 5.920, 5.920, 5.920 Å; angles 60.00, 60.00, 60.00 degrees
Element x y z (fractional)
Ba: 0.000 0.000 0.000
Sr: 0.500 0.500 0.500
Zr: 0.750 0.750 0.750
Sn: 0.250 0.250 0.250
O: 0.001 0.001 0.499
O: 0.001 0.499 0.001
O: 0.001 0.499 0.499
O: 0.499 0.001 0.001
O: 0.499 0.001 0.499
O: 0.499 0.499 0.001

=====

Material: CsHo2ReO8
Method: DFT, PBE
State: optimized geometry

Density in Mg/m³: 6.76
ΔE_f (raw) in meV/atom: -2211
V in Å³/atom: 15.905

Cell lengths 4.955, 4.955, 7.774 Å; angles 90.44, 90.44, 90.66 degrees
Element x y z (fractional)
Cs: 0.000 0.000 0.000
Ho: 0.498 0.498 0.715
Ho: 0.502 0.502 0.285
Re: 0.000 0.000 0.500
O: 0.183 0.808 0.328
O: 0.192 0.817 0.672
O: 0.282 0.282 0.497
O: 0.392 0.392 0.999
O: 0.608 0.608 0.001
O: 0.718 0.718 0.503
O: 0.808 0.183 0.328
O: 0.817 0.192 0.672

=====

Material: Zr2TaFeP
Method: DFT, PBE
State: optimized geometry

Density in Mg/m³: 6.10
Energy of formation in eV/atom: 1.051
DOS at the Fermi energy in states/eV/cell: 5.1
V in Å³/atom: 24.521

Cell lengths 5.139, 5.139, 4.643 Å; angles 90.00, 90.00, 90.00 degrees
Element x y z (fractional)
Zr: 0.000 0.500 0.000
Zr: 0.500 0.000 0.000
Ta: 0.000 0.000 0.000
Fe: 0.500 0.500 0.500
P: 0.000 0.000 0.500

=====

Material: HfMn2Si
Method: DFT, PBE
State: optimized geometry

Density in Mg/m³: 9.62
ΔE_f (raw) in meV/atom: -295
DOS at the Fermi energy in states/eV/cell: 3.1
V in Å³/atom: 13.662

Cell lengths 4.073, 4.073, 3.294 Å; angles 90.00, 90.00, 90.00 degrees
Element x y z (fractional)
Hf: 0.000 0.000 0.000
Mn: 0.000 0.500 0.500
Mn: 0.500 0.000 0.500
Si: 0.500 0.500 0.000

=====

Material: Pm2NdBi
Method: DFT, PBE
State: optimized geometry

Density in Mg/m³: 8.09
Energy of formation in eV/atom: -0.455
DOS at the Fermi energy in states/eV/cell: 9.9
V in Å³/atom: 33.009

Cell lengths 12.143, 12.143, 4.693 Å; angles 90.00, 90.00, 157.57 degrees
Element x y z (fractional)
Pm: 0.059 0.941 0.750
Pm: 0.437 0.563 0.750
Pm: 0.563 0.437 0.250
Pm: 0.941 0.059 0.250
Nd: 0.306 0.694 0.250
Nd: 0.694 0.306 0.750
Bi: 0.168 0.832 0.250
Bi: 0.832 0.168 0.750

=====

Material: Nd5Dy2Tm
Method: DFT, PBE
State: optimized geometry

Density in Mg/m³: 7.37
Energy of formation in eV/atom: 0.275
DOS at the Fermi energy in states/eV/cell: 21.8
V in Å³/atom: 34.201

Cell lengths 13.333, 13.333, 6.595 Å; angles 91.14, 91.14, 152.07 degrees
Element x y z (fractional)
Nd: 0.123 0.877 0.750
Nd: 0.129 0.498 0.003
Nd: 0.160 0.355 0.683
Nd: 0.355 0.160 0.183
Nd: 0.498 0.129 0.503
Nd: 0.502 0.871 0.497
Nd: 0.645 0.840 0.817
Nd: 0.840 0.645 0.317
Nd: 0.871 0.502 0.997
Nd: 0.877 0.123 0.250
Dy: 0.000 0.000 0.000
Dy: 0.000 0.000 0.500
Dy: 0.000 0.500 0.500
Dy: 0.500 0.000 0.000
Tm: 0.456 0.544 0.250
Tm: 0.544 0.456 0.750

=====

Material: LiSmZn2Pd4
Method: DFT, PBE
State: optimized geometry

Density in Mg/m³: 8.89
Energy of formation in eV/atom: -0.626
DOS at the Fermi energy in states/eV/cell: 3.7
V in Å³/atom: 16.665

Cell lengths 8.416, 8.416, 8.416 Å; angles 30.16, 30.16, 30.16 degrees
Element x y z (fractional)
Li: 0.000 0.000 0.000
Sm: 0.500 0.500 0.500
Zn: 0.261 0.261 0.261
Zn: 0.739 0.739 0.739
Pd: 0.102 0.102 0.102
Pd: 0.372 0.372 0.372
Pd: 0.628 0.628 0.628
Pd: 0.898 0.898 0.898

=====

Material: Nd4PtI5
Method: DFT, PBE
State: optimized geometry

Density in Mg/m³: 6.12
ΔE_f (raw) in meV/atom: -1258
DOS at the Fermi energy in states/eV/cell: 6.0
V in Å³/atom: 38.134

Cell lengths 10.177, 10.177, 9.206 Å; angles 102.53, 102.53, 24.21 degrees
Element x y z (fractional)
Nd: 0.000 0.000 0.209
Nd: 0.000 0.000 0.791
Nd: 0.352 0.352 0.923
Nd: 0.648 0.648 0.077
Pt: 0.500 0.500 0.000
I: 0.168 0.168 0.344
I: 0.175 0.175 0.827
I: 0.500 0.500 0.500
I: 0.825 0.825 0.173
I: 0.832 0.832 0.656

=====

Material: PmGa2Pd
Method: DFT, PBE
State: optimized geometry

Density in Mg/m³: 7.94
Energy of formation in eV/atom: -0.737
DOS at the Fermi energy in states/eV/cell: 1.6
V in Å³/atom: 20.445

Cell lengths 5.696, 5.696, 5.696 Å; angles 44.25, 44.25, 44.25 degrees
Element x y z (fractional)
Pm: 0.000 0.000 0.000
Ga: 0.216 0.216 0.216
Ga: 0.784 0.784 0.784
Pd: 0.500 0.500 0.500

=====

Material: HW8
Method: DFT, PBE
State: optimized geometry

Density in Mg/m³: 18.28
E_tot in eV/atom: -11.46
DOS at the Fermi energy in states/eV/cell: 7.7
V in Å³/atom: 14.858

Cell lengths 5.604, 5.604, 4.917 Å; angles 90.00, 90.00, 120.00 degrees
Element x y z (fractional)
H: 0.000 0.000 0.000
W: 0.169 0.338 0.745
W: 0.169 0.831 0.745
W: 0.333 0.667 0.244
W: 0.338 0.169 0.255
W: 0.662 0.831 0.745
W: 0.667 0.333 0.756
W: 0.831 0.169 0.255
W: 0.831 0.662 0.255